The following is a PBE with a Hubbard U calculation of a geometry-optimized NpNi2PdO6 structure, from the Alexandria database.

## Properties
**Calculated total energy**: -6.800 eV/atom
**Density of states at the Fermi level**: 5.683 states/eV/cell

Lattice parameters (Å, degrees): 4.8451 5.5040 10.5872 90.00 116.01 90.00
Last column: nearest neighbours and their distance in Å.
Space group P2_1/c (No. 14)
Symmetry-distinct sites (fractional):
Np 0.0000 0.0000 0.0000 (multiplicity 2)  4 O 2.00-2.02
Ni 0.2614 0.0985 0.7320 (multiplicity 4)  3 O 1.98-2.05
Pd 0.5000 0.0000 0.5000 (multiplicity 2)  4 O 1.96-2.07
O 0.0331 0.5697 0.3222 (multiplicity 4)  1 Ni 1.98, 1 Np 2.00
O 0.3463 0.2440 0.0814 (multiplicity 4)  1 Pd 1.96, 1 Ni 2.01, 1 Np 2.02
O 0.3673 0.7189 0.1228 (multiplicity 4)  2 Ni 2.05-2.27, 1 Pd 2.07, 1 Np 2.29